Here is an optimized crystal structure of LiV3Zn2O8 from the Alexandria database. Energies are from GGA+U.

```
LiV3Zn2O8
1.0
6.002 -0.007 -0.003
-3.024 5.185 -0.004
0.019 3.452 9.706
Li V Zn O
2 6 4 16
Cartesian
-0.041 3.407 0.603
3.025 5.224 5.454
-1.500 6.045 7.883
-1.509 4.319 3.030
1.501 6.041 7.881
0.003 1.726 3.032
3.013 3.449 7.883
1.492 4.315 3.028
3.019 1.722 4.772
0.023 3.444 9.627
2.989 1.723 1.289
0.002 3.460 6.143
-0.064 3.425 4.138
3.001 5.244 8.989
3.048 5.205 1.919
0.002 6.838 6.774
1.341 2.601 1.978
4.418 4.439 6.829
1.643 6.029 4.079
-1.415 7.643 8.934
3.061 3.590 4.083
0.002 5.292 8.929
-1.613 5.995 4.074
1.407 7.644 8.934
4.597 2.636 1.982
1.595 4.438 6.828
-0.077 5.041 1.973
3.001 6.791 6.833
```

Crystal system   monoclinic
SG   C2/c (15)
Total energy   -93.13 eV/f.u.